Computed, not measured: a relaxed Tb5Pr2In3 crystal at the GGA-PBE level of DFT.

Output
Calculated total energy   -4.19 eV/atom
E_form   -96 meV per atom

```
Tb5Pr2In3
1.0
-4.735 4.685 -0.672
-4.812 1.244 9.224
4.536 9.434 0.461
In Pr Tb
6 4 10
Direct
0.866 0.780 0.489
0.366 0.489 0.780
0.250 0.000 0.000
0.134 0.220 0.511
0.750 0.000 0.000
0.634 0.511 0.220
0.354 0.852 0.440
0.146 0.560 0.148
0.854 0.440 0.852
0.646 0.148 0.560
0.922 0.918 0.238
0.422 0.238 0.918
0.078 0.082 0.762
0.578 0.762 0.082
0.750 0.500 0.500
0.250 0.500 0.500
0.992 0.758 0.758
0.492 0.758 0.758
0.008 0.242 0.242
0.508 0.242 0.242
```

=====

Computed, not measured: a relaxed Be2CrW crystal at the GGA-PBE level of DFT.

Output
Calculated total energy   -7.58 eV/atom
E above lowest polymorph   0.000 eV per atom
E_form   -72 meV per atom

```
Be2CrW
1.0
-2.498 1.737 -1.025
-1.793 -1.337 2.105
0.114 2.464 3.897
Be W Cr
2 1 1
Direct
0.000 0.190 0.994
0.500 0.056 0.264
0.500 0.784 0.804
0.000 0.470 0.438
```

=====

Computed, not measured: a relaxed DyInAg crystal at the GGA-PBE level of DFT.

Output
Calculated total energy   -3.66 eV/atom
E_form   -264 meV per atom

```
DyInAg
1.0
3.457 0.000 0.000
0.000 3.457 0.000
-1.728 -1.728 5.892
Ag In Dy
1 1 1
Direct
0.277 0.277 0.554
0.630 0.630 0.260
0.943 0.943 0.886
```

=====

Computed, not measured: a relaxed NaSiW2 crystal at the GGA-PBE level of DFT.

Output
Calculated total energy   -6.82 eV/atom

```
NaSiW2
1.0
-0.013 -3.901 -2.118
4.048 -0.879 1.595
-1.717 -6.341 7.040
Na W Si
2 4 2
Direct
0.250 0.750 0.500
0.500 0.500 0.000
0.375 0.224 0.750
0.875 0.026 0.750
0.776 0.125 0.250
0.974 0.625 0.250
0.750 0.250 0.500
0.000 0.000 0.000
```

=====

Computed, not measured: a relaxed CsCa2Te2 crystal at the GGA-PBE level of DFT.

Output
Calculated total energy   -3.22 eV/atom
E above lowest polymorph   0.156 eV per atom

```
CsCa2Te2
1.0
-6.128 -3.952 5.848
6.135 0.848 7.001
-1.546 3.734 0.903
Cs Te Ca
2 4 4
Direct
0.500 0.500 0.000
0.000 0.000 0.000
0.354 0.854 0.000
0.646 0.146 0.000
0.146 0.354 0.000
0.854 0.646 0.000
0.640 0.860 0.500
0.140 0.640 0.500
0.360 0.140 0.500
0.860 0.360 0.500
```

=====

Computed, not measured: a relaxed RbNa2SeF crystal at the GGA-PBE level of DFT.

Output
Calculated total energy   -3.37 eV/atom

```
RbNa2SeF
1.0
-2.374 4.174 -0.325
-0.817 -0.828 -4.670
-4.452 -2.438 1.211
Rb Na Se F
1 2 1 1
Direct
0.000 0.000 0.500
0.500 0.000 0.000
0.000 0.500 0.000
0.500 0.500 0.500
0.000 0.000 0.000
```

=====

Computed, not measured: a relaxed DySc3Tl2 crystal at the GGA-PBE level of DFT.

Output
Calculated total energy   -4.97 eV/atom
E above lowest polymorph   0.000 eV per atom
E_form   -245 meV per atom

```
DySc3Tl2
1.0
-3.432 -0.132 3.389
-4.213 -2.552 -4.366
2.751 -8.728 2.447
Sc Tl Dy
6 4 2
Direct
0.000 0.338 0.297
0.000 0.945 0.046
0.500 0.162 0.811
0.000 0.445 0.954
0.000 0.838 0.703
0.500 0.662 0.189
0.000 0.287 0.633
0.500 0.710 0.877
0.000 0.787 0.367
0.500 0.210 0.123
0.500 0.058 0.454
0.500 0.558 0.546
```

=====

Computed, not measured: a relaxed LaBeAl2Bi crystal at the GGA-PBE level of DFT.

Output
Calculated total energy   -3.97 eV/atom
E_form   33 meV per atom

```
LaBeAl2Bi
1.0
4.652 0.000 0.000
0.000 5.440 0.000
0.000 0.000 4.652
Be Bi Al La
1 1 2 1
Direct
0.000 0.000 0.000
0.000 0.500 0.000
0.500 0.000 0.000
0.000 0.000 0.500
0.500 0.500 0.500
```

=====

Computed, not measured: a relaxed CuTe2Pb crystal at the GGA-PBE level of DFT.

Output
Calculated total energy   -3.38 eV/atom

```
CuTe2Pb
1.0
-2.917 -1.027 1.321
-0.380 -0.739 -3.259
3.859 -8.932 1.576
Pb Te Cu
1 2 1
Direct
0.500 0.500 0.695
0.500 0.500 0.336
0.000 0.000 0.978
0.000 0.000 0.492
```

=====

Computed, not measured: a relaxed TaTl4Co crystal at the GGA-PBE level of DFT.

Output
Calculated total energy   -3.43 eV/atom
E_form   1308 meV per atom

```
TaTl4Co
1.0
0.000 4.235 4.235
4.235 0.000 4.235
4.235 4.235 0.000
Tl Ta Co
4 1 1
Direct
0.375 0.375 0.874
0.375 0.874 0.375
0.375 0.375 0.375
0.874 0.375 0.375
0.000 0.000 0.000
0.750 0.750 0.750
```

=====

Computed, not measured: a relaxed TaGa2Pd crystal at the GGA-PBE level of DFT.

Output
Calculated total energy   -5.84 eV/atom
E_form   -62 meV per atom

```
TaGa2Pd
1.0
2.895 0.000 0.000
1.447 2.507 0.000
1.447 0.836 9.554
Pd Ta Ga
1 1 2
Direct
0.000 0.000 0.000
0.500 0.500 0.500
0.914 0.914 0.259
0.086 0.086 0.741
```

=====

Computed, not measured: a relaxed DyHo4Tl crystal at the GGA-PBE level of DFT.

Output
Calculated total energy   -4.18 eV/atom
E above lowest polymorph   0.143 eV per atom
E_form   38 meV per atom

```
DyHo4Tl
1.0
5.504 0.000 0.000
0.000 6.487 0.000
-2.752 0.000 10.527
Ho Dy Tl
8 2 2
Direct
0.539 0.592 0.078
0.137 0.755 0.274
0.254 0.389 0.509
0.461 0.092 0.922
0.319 0.913 0.637
0.863 0.255 0.726
0.681 0.413 0.363
0.746 0.889 0.491
0.064 0.268 0.129
0.936 0.768 0.871
0.604 0.016 0.207
0.396 0.516 0.793
```